# 1
The following is a GGA-PBE calculation of a relaxed structure of CdH4O2F2, from OQMD.

Results
- ΔE to the lowest computed polymorph: 0.000 eV per formula unit

Lattice parameters (Å, degrees): 6.3240 7.8153 3.3545 90.00 101.11 90.00
Space group C2/m (No. 12)
Unique sites:
Cd (0.0000, 0.0000, 0.0000) x2
H (0.0999, 0.3532, 0.1900) x8
O (0.0000, 0.2790, 0.0000) x4
F (0.2494, 0.0000, 0.5791) x4

=====

# 2
The following is a GGA-PBE calculation of a relaxed structure of Er3Al3Cu2Ni, from OQMD.

Results
- Total moment: 0.002 μB per formula unit

Lattice parameters (Å, degrees): 6.9259 6.9259 3.9924 90.00 90.00 120.00
Space group P-62m (No. 189)
Unique sites:
Er (0.0000, 0.4111, 0.0000) x3
Al (0.0000, 0.7681, 0.5000) x3
Cu (0.3333, 0.6667, 0.5000) x2
Ni (0.0000, 0.0000, 0.0000) x1

=====

Calculated VASP energy, -4.51 -4.74 eV per atom (same order as the records).